# SbHOsI2 | the Alexandria database | PBE-GGA | relaxed
# Volume: 27.60 Å³ per atom
# Polymorph energy (0 for the lowest one): 0.396 eV/atom
# SG: P4/mmm (123)
data_SbHOsI2
_chemical_formula_sum 'Sb1 H1 Os1 I2'
_symmetry_space_group_name_H-M 'P 1'
_symmetry_Int_Tables_number 1
_cell_length_a 5.989
_cell_length_b 5.989
_cell_length_c 3.847
_cell_angle_alpha 90.00
_cell_angle_beta 90.00
_cell_angle_gamma 90.00
loop_
_symmetry_equiv_pos_as_xyz
'x,y,z'
loop_
_atom_site_label
_atom_site_type_symbol
_atom_site_fract_x
_atom_site_fract_y
_atom_site_fract_z
Sb1 Sb 0.000 0.000 0.000
H1 H 0.000 0.000 0.500
Os1 Os 0.500 0.500 0.500
I1 I 0.000 0.500 0.000
I2 I 0.500 0.000 0.000



# AcAl3 | the Alexandria database | PBE-GGA | relaxed
# Volume: 22.79 Å³ per atom
# DFT formation energy: -0.32 eV/atom
# Polymorph energy (0 for the lowest one): 0.047 eV/atom
# SG: P6_3/mmc (194)
data_AcAl3
_chemical_formula_sum 'Ac6 Al18'
_symmetry_space_group_name_H-M 'P 1'
_symmetry_Int_Tables_number 1
_cell_length_a 5.843
_cell_length_b 5.843
_cell_length_c 18.502
_cell_angle_alpha 90.00
_cell_angle_beta 90.00
_cell_angle_gamma 120.00
loop_
_symmetry_equiv_pos_as_xyz
'x,y,z'
loop_
_atom_site_label
_atom_site_type_symbol
_atom_site_fract_x
_atom_site_fract_y
_atom_site_fract_z
Ac1 Ac 0.333 0.667 0.040
Ac2 Ac 0.333 0.667 0.250
Ac3 Ac 0.333 0.667 0.460
Ac4 Ac 0.667 0.333 0.540
Ac5 Ac 0.667 0.333 0.750
Ac6 Ac 0.667 0.333 0.960
Al1 Al 0.000 0.000 0.000
Al2 Al 0.000 0.000 0.250
Al3 Al 0.000 0.000 0.500
Al4 Al 0.000 0.000 0.750
Al5 Al 0.169 0.338 0.631
Al6 Al 0.169 0.338 0.869
Al7 Al 0.169 0.831 0.631
Al8 Al 0.169 0.831 0.869
Al9 Al 0.333 0.667 0.750
Al10 Al 0.338 0.169 0.131
Al11 Al 0.338 0.169 0.369
Al12 Al 0.662 0.831 0.631
Al13 Al 0.662 0.831 0.869
Al14 Al 0.667 0.333 0.250
Al15 Al 0.831 0.169 0.131
Al16 Al 0.831 0.169 0.369
Al17 Al 0.831 0.662 0.131
Al18 Al 0.831 0.662 0.369



# Ta2MnFeH | the Alexandria database | PBE-GGA | relaxed
# Volume: 11.93 Å³ per atom
# Polymorph energy (0 for the lowest one): 0.029 eV/atom
# SG: P4/mmm (123)
data_Ta2MnFeH
_chemical_formula_sum 'Ta2 Mn1 Fe1 H1'
_symmetry_space_group_name_H-M 'P 1'
_symmetry_Int_Tables_number 1
_cell_length_a 4.229
_cell_length_b 4.229
_cell_length_c 3.334
_cell_angle_alpha 90.00
_cell_angle_beta 90.00
_cell_angle_gamma 90.00
loop_
_symmetry_equiv_pos_as_xyz
'x,y,z'
loop_
_atom_site_label
_atom_site_type_symbol
_atom_site_fract_x
_atom_site_fract_y
_atom_site_fract_z
Ta1 Ta 0.000 0.500 0.000
Ta2 Ta 0.500 0.000 0.000
Mn1 Mn 0.000 0.000 0.500
Fe1 Fe 0.500 0.500 0.500
H1 H 0.000 0.000 0.000



# Cd2Ge2Pt | the Alexandria database | PBE-GGA | relaxed
# Volume: 20.07 Å³ per atom
# DFT formation energy: -0.09 eV/atom
# SG: P4/mbm (127)
data_Cd2Ge2Pt
_chemical_formula_sum 'Cd4 Ge4 Pt2'
_symmetry_space_group_name_H-M 'P 1'
_symmetry_Int_Tables_number 1
_cell_length_a 6.447
_cell_length_b 6.447
_cell_length_c 4.829
_cell_angle_alpha 90.00
_cell_angle_beta 90.00
_cell_angle_gamma 90.00
loop_
_symmetry_equiv_pos_as_xyz
'x,y,z'
loop_
_atom_site_label
_atom_site_type_symbol
_atom_site_fract_x
_atom_site_fract_y
_atom_site_fract_z
Cd1 Cd 0.179 0.321 0.000
Cd2 Cd 0.321 0.821 0.000
Cd3 Cd 0.679 0.179 0.000
Cd4 Cd 0.821 0.679 0.000
Ge1 Ge 0.139 0.639 0.500
Ge2 Ge 0.361 0.139 0.500
Ge3 Ge 0.639 0.861 0.500
Ge4 Ge 0.861 0.361 0.500
Pt1 Pt 0.000 0.000 0.500
Pt2 Pt 0.500 0.500 0.500



# Tl2H6Pb | the Alexandria database | PBE-GGA | relaxed
# Volume: 24.21 Å³ per atom
# Electronic total energy: -2.825 eV/atom
# SG: P6/mmm (191)
data_Tl2H6Pb
_chemical_formula_sum 'Tl2 H6 Pb1'
_symmetry_space_group_name_H-M 'P 1'
_symmetry_Int_Tables_number 1
_cell_length_a 5.820
_cell_length_b 5.820
_cell_length_c 7.429
_cell_angle_alpha 90.00
_cell_angle_beta 90.00
_cell_angle_gamma 120.00
loop_
_symmetry_equiv_pos_as_xyz
'x,y,z'
loop_
_atom_site_label
_atom_site_type_symbol
_atom_site_fract_x
_atom_site_fract_y
_atom_site_fract_z
Tl1 Tl 0.333 0.667 0.000
Tl2 Tl 0.667 0.333 0.000
H1 H 0.000 0.171 0.500
H2 H 0.000 0.829 0.500
H3 H 0.171 0.000 0.500
H4 H 0.171 0.171 0.500
H5 H 0.829 0.000 0.500
H6 H 0.829 0.829 0.500
Pb1 Pb 0.000 0.000 0.000



# K3Sc3SnS8 | the Alexandria database | PBE-GGA | relaxed
# Volume: 24.86 Å³ per atom
# SG: R-3m (166)
# Raw formation energy: -1.49 eV/atom
data_K3Sc3SnS8
_chemical_formula_sum 'K3 Sc3 Sn1 S8'
_symmetry_space_group_name_H-M 'P 1'
_symmetry_Int_Tables_number 1
_cell_length_a 8.656
_cell_length_b 8.656
_cell_length_c 8.656
_cell_angle_alpha 52.05
_cell_angle_beta 52.05
_cell_angle_gamma 52.05
loop_
_symmetry_equiv_pos_as_xyz
'x,y,z'
loop_
_atom_site_label
_atom_site_type_symbol
_atom_site_fract_x
_atom_site_fract_y
_atom_site_fract_z
K1 K 0.000 0.500 0.500
K2 K 0.500 0.000 0.500
K3 K 0.500 0.500 0.000
Sc1 Sc 0.000 0.000 0.500
Sc2 Sc 0.000 0.500 0.000
Sc3 Sc 0.500 0.000 0.000
Sn1 Sn 0.500 0.500 0.500
S1 S 0.230 0.230 0.230
S2 S 0.231 0.730 0.730
S3 S 0.270 0.270 0.769
S4 S 0.270 0.769 0.270
S5 S 0.730 0.231 0.730
S6 S 0.730 0.730 0.231
S7 S 0.769 0.270 0.270
S8 S 0.770 0.770 0.770



> volume of number 3 (Ta2MnFeH)?

11.93 Å³ per atom



> Look up the volume of the fifth one.

24.21 Å³ per atom



> Look up the volume of the first one.

27.60 Å³ per atom



Copy entry 1 word for word.
# SbHOsI2 | the Alexandria database | PBE-GGA | relaxed
# Volume: 27.60 Å³ per atom
# Polymorph energy (0 for the lowest one): 0.396 eV/atom
# SG: P4/mmm (123)
data_SbHOsI2
_chemical_formula_sum 'Sb1 H1 Os1 I2'
_symmetry_space_group_name_H-M 'P 1'
_symmetry_Int_Tables_number 1
_cell_length_a 5.989
_cell_length_b 5.989
_cell_length_c 3.847
_cell_angle_alpha 90.00
_cell_angle_beta 90.00
_cell_angle_gamma 90.00
loop_
_symmetry_equiv_pos_as_xyz
'x,y,z'
loop_
_atom_site_label
_atom_site_type_symbol
_atom_site_fract_x
_atom_site_fract_y
_atom_site_fract_z
Sb1 Sb 0.000 0.000 0.000
H1 H 0.000 0.000 0.500
Os1 Os 0.500 0.500 0.500
I1 I 0.000 0.500 0.000
I2 I 0.500 0.000 0.000